DFT (GGA-PBE) results for a geometry-optimized BaOs2Pb structure.

Unit cell a=5.321 b=5.321 c=3.211 alpha=90.00 beta=90.00 gamma=103.67
Positions (direct):
1 Ba 0.000 0.500 0.500
2 Os 0.000 0.000 0.000
3 Os 0.500 0.500 0.000
4 Pb 0.500 0.000 0.500

Results
The value obtained for the energy is -22.2 eV per cell. For the calculated density, the calculation gives 13.63 g/cm³.



DFT (GGA-PBE) results for a geometry-optimized BaOsPb2 structure.

Unit cell a=6.526 b=6.526 c=6.526 alpha=149.20 beta=124.85 gamma=64.51
Positions (direct):
1 Pb 0.551 0.551 0.000
2 Pb 0.949 0.949 0.000
3 Os 0.750 0.250 0.500
4 Ba 0.250 0.750 0.500

Results
The value obtained for the energy is -19.3 eV per cell. For the calculated density, the calculation gives 10.66 g/cm³.



DFT (GGA-PBE) results for a geometry-optimized BaOsPb2 structure.

Unit cell a=6.078 b=6.078 c=9.404 alpha=71.15 beta=71.15 gamma=90.00
Positions (direct):
1 Pb 0.943 0.625 0.250
2 Ba 0.250 0.750 0.500
3 Pb 0.375 0.193 0.750
4 Pb 0.807 0.125 0.250
5 Os 0.000 0.000 0.000
6 Pb 0.875 0.057 0.750
7 Ba 0.500 0.500 0.000
8 Os 0.750 0.250 0.500

Results
The value obtained for the energy is -37.3 eV per cell. For the calculated density, the calculation gives 7.97 g/cm³.



DFT (GGA-PBE) results for a geometry-optimized BaOsPb2 structure.

Unit cell a=6.163 b=6.163 c=3.266 alpha=90.00 beta=90.00 gamma=117.03
Positions (direct):
1 Pb 0.500 0.500 0.000
2 Ba 0.500 0.000 0.500
3 Pb 0.000 0.000 0.000
4 Os 0.000 0.500 0.500

Results
The value obtained for the energy is -17.3 eV per cell. For the calculated density, the calculation gives 11.15 g/cm³.



- calculated density of number 4 (BaOsPb2)?
  11.15 g/cm³



Copy entry 1 word for word.
DFT (GGA-PBE) results for a geometry-optimized BaOs2Pb structure.

Unit cell a=5.321 b=5.321 c=3.211 alpha=90.00 beta=90.00 gamma=103.67
Positions (direct):
1 Ba 0.000 0.500 0.500
2 Os 0.000 0.000 0.000
3 Os 0.500 0.500 0.000
4 Pb 0.500 0.000 0.500

Results
The value obtained for the energy is -22.2 eV per cell. For the calculated density, the calculation gives 13.63 g/cm³.



- What is the formula in the third record?
  BaOsPb2



- The lowest calculated density belongs to which entry?
  number 3